Record 1
A plane-wave DFT calculation with PBE-GGA was carried out for Nd2Ga4PdAu3 after structural relaxation.

```
data_Nd2Ga4PdAu3
_cell_length_a 4.406
_cell_length_b 4.406
_cell_length_c 10.554
_cell_angle_alpha 90.00
_cell_angle_beta 90.00
_cell_angle_gamma 90.00
_symmetry_space_group_name_H-M 'P -4 m 2'
_symmetry_Int_Tables_number 115
_symmetry_space_group_name_Hall 'P -4 -2'
loop_
_atom_site_label
_atom_site_type_symbol
_atom_site_fract_x
_atom_site_fract_y
_atom_site_fract_z
_atom_site_occupancy
Nd1 Nd 0.000 0.500 0.250 1
Ga1 Ga 0.000 0.000 0.000 1
Ga2 Ga 0.000 0.500 0.626 1
Ga3 Ga 0.500 0.500 0.000 1
Pd1 Pd 0.000 0.000 0.500 1
Au1 Au 0.000 0.500 0.864 1
Au2 Au 0.500 0.500 0.500 1
```

Calculated values
energy relative to the elements: -0.688 eV/atom

Record 2
A plane-wave DFT calculation with PBE-GGA was carried out for VTc2P after structural relaxation.

```
data_VTc2P
_cell_length_a 7.244
_cell_length_b 7.244
_cell_length_c 4.725
_cell_angle_alpha 90.00
_cell_angle_beta 90.00
_cell_angle_gamma 90.00
_symmetry_space_group_name_H-M 'I -4 2 d'
_symmetry_Int_Tables_number 122
_symmetry_space_group_name_Hall 'I -4 2bw'
loop_
_atom_site_label
_atom_site_type_symbol
_atom_site_fract_x
_atom_site_fract_y
_atom_site_fract_z
_atom_site_occupancy
V1 V 0.000 0.000 0.000 1
Tc1 Tc 0.166 0.250 0.625 1
P1 P 0.000 0.000 0.500 1
```

Calculated values
energy relative to the elements: 0.177 eV/atom

Record 3
A plane-wave DFT calculation with PBE-GGA was carried out for Sr2CaHo after structural relaxation.

```
data_Sr2CaHo
_cell_length_a 3.930
_cell_length_b 3.930
_cell_length_c 11.382
_cell_angle_alpha 90.00
_cell_angle_beta 90.00
_cell_angle_gamma 90.00
_symmetry_space_group_name_H-M 'P 4/m m m'
_symmetry_Int_Tables_number 123
_symmetry_space_group_name_Hall '-P 4 2'
loop_
_atom_site_label
_atom_site_type_symbol
_atom_site_fract_x
_atom_site_fract_y
_atom_site_fract_z
_atom_site_occupancy
Sr1 Sr 0.000 0.000 0.235 1
Ca1 Ca 0.500 0.500 0.500 1
Ho1 Ho 0.500 0.500 0.000 1
```

Calculated values
energy relative to the elements: 0.158 eV/atom

Record 4
A plane-wave DFT calculation with PBE-GGA was carried out for HfTaNb4 after structural relaxation.

```
data_HfTaNb4
_cell_length_a 7.747
_cell_length_b 7.747
_cell_length_c 7.747
_cell_angle_alpha 90.00
_cell_angle_beta 90.00
_cell_angle_gamma 90.00
_symmetry_space_group_name_H-M 'F -4 3 m'
_symmetry_Int_Tables_number 216
_symmetry_space_group_name_Hall 'F -4 2 3'
loop_
_atom_site_label
_atom_site_type_symbol
_atom_site_fract_x
_atom_site_fract_y
_atom_site_fract_z
_atom_site_occupancy
Hf1 Hf 0.000 0.000 0.000 1
Ta1 Ta 0.250 0.250 0.750 1
Nb1 Nb 0.125 0.125 0.375 1
```

Calculated values
energy relative to the elements: 0.081 eV/atom

Record 5
A plane-wave DFT calculation with PBE-GGA was carried out for CaZnRu2S after structural relaxation.

```
data_CaZnRu2S
_cell_length_a 4.707
_cell_length_b 4.707
_cell_length_c 4.762
_cell_angle_alpha 90.00
_cell_angle_beta 90.00
_cell_angle_gamma 90.00
_symmetry_space_group_name_H-M 'P 4/m m m'
_symmetry_Int_Tables_number 123
_symmetry_space_group_name_Hall '-P 4 2'
loop_
_atom_site_label
_atom_site_type_symbol
_atom_site_fract_x
_atom_site_fract_y
_atom_site_fract_z
_atom_site_occupancy
Ca1 Ca 0.000 0.000 0.000 1
Zn1 Zn 0.500 0.500 0.500 1
Ru1 Ru 0.000 0.500 0.500 1
S1 S 0.500 0.500 0.000 1
```

Calculated values
raw formation energy: 3.96 eV per formula unit

Record 6
A plane-wave DFT calculation with PBE-GGA was carried out for CdNi3N after structural relaxation.

```
data_CdNi3N
_cell_length_a 3.901
_cell_length_b 3.744
_cell_length_c 7.986
_cell_angle_alpha 90.00
_cell_angle_beta 90.00
_cell_angle_gamma 90.00
_symmetry_space_group_name_H-M 'P m m a'
_symmetry_Int_Tables_number 51
_symmetry_space_group_name_Hall '-P 2a 2a'
loop_
_atom_site_label
_atom_site_type_symbol
_atom_site_fract_x
_atom_site_fract_y
_atom_site_fract_z
_atom_site_occupancy
Cd1 Cd 0.250 0.000 0.131 1
Ni1 Ni 0.250 0.000 0.619 1
Ni2 Ni 0.250 0.500 0.376 1
Ni3 Ni 0.250 0.500 0.866 1
N1 N 0.250 0.500 0.632 1
```

Calculated values
raw formation energy: 0.18 eV per formula unit

Record 7
A plane-wave DFT calculation with PBE-GGA was carried out for BaInIr after structural relaxation.

```
data_BaInIr
_cell_length_a 7.237
_cell_length_b 6.870
_cell_length_c 9.183
_cell_angle_alpha 90.00
_cell_angle_beta 126.64
_cell_angle_gamma 90.00
_symmetry_space_group_name_H-M 'P 1 21/c 1'
_symmetry_Int_Tables_number 14
_symmetry_space_group_name_Hall '-P 2ybc'
loop_
_atom_site_label
_atom_site_type_symbol
_atom_site_fract_x
_atom_site_fract_y
_atom_site_fract_z
_atom_site_occupancy
Ba1 Ba 0.192 0.135 0.409 1
In1 In 0.308 0.650 0.611 1
Ir1 Ir 0.367 0.597 0.348 1
```

Calculated values
energy relative to the elements: -0.283 eV/atom

Record 8
A plane-wave DFT calculation with PBE-GGA was carried out for PuAl6Fe6 after structural relaxation.

```
data_PuAl6Fe6
_cell_length_a 4.968
_cell_length_b 8.531
_cell_length_c 8.629
_cell_angle_alpha 90.00
_cell_angle_beta 90.00
_cell_angle_gamma 90.00
_symmetry_space_group_name_H-M 'I m m m'
_symmetry_Int_Tables_number 71
_symmetry_space_group_name_Hall '-I 2 2'
loop_
_atom_site_label
_atom_site_type_symbol
_atom_site_fract_x
_atom_site_fract_y
_atom_site_fract_z
_atom_site_occupancy
Pu1 Pu 0.000 0.000 0.000 1
Al1 Al 0.000 0.000 0.346 1
Al2 Al 0.000 0.337 0.000 1
Al3 Al 0.000 0.500 0.308 1
Fe1 Fe 0.000 0.258 0.500 1
Fe2 Fe 0.250 0.250 0.250 1
```

Calculated values
energy relative to the elements: -0.289 eV/atom

no.,ρ (g/cm3)
1,10.3
2,7.4
3,3.6
4,10.4
5,5.3
6,8.6
7,8.1
8,6.7